Here is Pr4TeOs after structural relaxation from Alexandria via LeMat-Bulk. Energies are from GGA-PBE.

Lattice parameters (Å, degrees): 6.5255 8.0536 8.0536 113.03 98.99 98.99
With the nearest neighbours (Å) after each atom.
Fractional positions:
Pr (0.9105, 0.6370, 0.7936)  2 Os 3.03-3.18, 2 Te 3.27-3.36
Pr (0.0466, 0.9387, 0.2776)  2 Os 2.92-2.98
Pr (0.5895, 0.2064, 0.3630)  2 Os 3.03-3.18, 2 Te 3.27-3.36
Pr (0.4534, 0.7224, 0.0613)  2 Os 2.92-2.98
Pr (0.5466, 0.2776, 0.9387)  2 Os 2.92-2.98
Pr (0.4105, 0.7936, 0.6370)  2 Os 3.03-3.18, 2 Te 3.27-3.36
Pr (0.9534, 0.0613, 0.7224)  2 Os 2.92-2.98
Pr (0.0895, 0.3630, 0.2064)  2 Os 3.03-3.18, 2 Te 3.27-3.36
Te (0.7500, 0.6198, 0.3802)  8 Pr 3.27-3.42
Te (0.2500, 0.3802, 0.6198)  8 Pr 3.27-3.42
Os (0.2500, 0.9989, 0.0011)  8 Pr 2.92-3.18, 2 Os 3.26
Os (0.7500, 0.0011, 0.9989)  8 Pr 2.92-3.18, 2 Os 3.26

## Properties
Formation energy from raw total energies in eV/f.u.: -2.86
Final energy in eV/atom: -6.058
Symmetry: C2/c, No. 15
Spin magnetization in μB/f.u.: 0.0

=====

Here is TaTlPb2 after structural relaxation from Alexandria via LeMat-Bulk. Energies are from GGA-PBE.

Lattice parameters (Å, degrees): 4.3924 4.3924 11.4695 78.96 78.96 90.00
With the nearest neighbours (Å) after each atom.
Fractional positions:
Pb (0.6142, 0.1250, 0.2500)  4 Pb 3.04-3.17, 2 Ta 3.15, 2 Tl 3.18
Pb (0.1358, 0.6250, 0.2500)  4 Pb 3.04-3.17, 2 Ta 3.15, 2 Tl 3.18
Pb (0.3750, 0.3858, 0.7500)  4 Pb 3.04-3.17, 2 Ta 3.15, 2 Tl 3.18
Pb (0.8750, 0.8642, 0.7500)  4 Pb 3.04-3.17, 2 Ta 3.15, 2 Tl 3.18
Tl (0.0000, 0.0000, 0.0000)  4 Ta 3.11, 4 Pb 3.18
Tl (0.7500, 0.2500, 0.5000)  4 Ta 3.11, 4 Pb 3.18
Ta (0.5000, 0.5000, 0.0000)  4 Tl 3.11, 4 Pb 3.15
Ta (0.2500, 0.7500, 0.5000)  4 Tl 3.11, 4 Pb 3.15

## Properties
Relative energy among the computed polymorphs in kJ/mol of atoms: 48.2
Final energy in eV/atom: -4.584
Calculated formation energy in eV/atom: 0.825
Symmetry: I-42d, No. 122
Spin magnetization in μB/f.u.: 0.0

=====

Here is Al2Ge2Pb after structural relaxation from Alexandria via LeMat-Bulk. Energies are from GGA-PBE.

Lattice parameters (Å, degrees): 8.0965 8.0965 3.1702 90.00 90.00 90.00
With the nearest neighbours (Å) after each atom.
Fractional positions:
Pb (0.0000, 0.0000, 0.0000)  4 Al 3.17, 2 Pb 3.17, 8 Ge 3.43
Pb (0.5000, 0.5000, 0.0000)  4 Al 3.17, 2 Pb 3.17, 8 Ge 3.43
Ge (0.1601, 0.6601, 0.5000)  6 Al 2.85-2.86, 2 Ge 3.17
Ge (0.6601, 0.8399, 0.5000)  6 Al 2.85-2.86, 2 Ge 3.17
Ge (0.8399, 0.3399, 0.5000)  6 Al 2.85-2.86, 2 Ge 3.17
Ge (0.3399, 0.1601, 0.5000)  6 Al 2.85-2.86, 2 Ge 3.17
Al (0.3683, 0.8683, 0.0000)  6 Ge 2.85-2.86, 3 Al 3.02-3.17, 2 Pb 3.17
Al (0.8683, 0.6317, 0.0000)  6 Ge 2.85-2.86, 3 Al 3.02-3.17, 2 Pb 3.17
Al (0.6317, 0.1317, 0.0000)  6 Ge 2.85-2.86, 3 Al 3.02-3.17, 2 Pb 3.17
Al (0.1317, 0.3683, 0.0000)  6 Ge 2.85-2.86, 3 Al 3.02-3.17, 2 Pb 3.17

## Properties
Relative energy among the computed polymorphs in kJ/mol of atoms: 5.2
Final energy in eV/atom: -3.922
Calculated formation energy in eV/atom: 0.164
Symmetry: P4/mbm, No. 127
Spin magnetization in μB/f.u.: 0.0

=====

Here is Sm3Ga5Pd6 after structural relaxation from Alexandria via LeMat-Bulk. Energies are from GGA-PBE.

Lattice parameters (Å, degrees): 4.3920 9.0412 13.2340 90.00 90.00 90.00
With the nearest neighbours (Å) after each atom.
Fractional positions:
Sm (0.0000, 0.2455, 0.6956)  8 Pd 3.05-3.28, 7 Ga 3.11-3.40
Sm (0.5000, 0.7545, 0.1956)  8 Pd 3.05-3.28, 7 Ga 3.11-3.40
Sm (0.5000, 0.7545, 0.8044)  8 Pd 3.05-3.28, 7 Ga 3.11-3.40
Sm (0.0000, 0.2406, 0.0000)  2 Pd 3.03, 6 Ga 3.08-3.29
Sm (0.5000, 0.7594, 0.5000)  2 Pd 3.03, 6 Ga 3.08-3.29
Sm (0.0000, 0.2455, 0.3044)  8 Pd 3.05-3.28, 7 Ga 3.11-3.40
Ga (0.0000, 0.5304, 0.8781)  5 Pd 2.63-2.75, 1 Ga 2.71
Ga (0.0000, 0.8858, 0.6637)  5 Pd 2.55-2.73
Ga (0.0000, 0.7719, 0.0000)  6 Pd 2.60-2.86, 2 Ga 2.71
Ga (0.5000, 0.4696, 0.6219)  5 Pd 2.63-2.75, 1 Ga 2.71
Ga (0.5000, 0.2281, 0.5000)  6 Pd 2.60-2.86, 2 Ga 2.71
Ga (0.0000, 0.5304, 0.1219)  5 Pd 2.63-2.75, 1 Ga 2.71
Ga (0.5000, 0.4696, 0.3781)  5 Pd 2.63-2.75, 1 Ga 2.71
Ga (0.0000, 0.8858, 0.3363)  5 Pd 2.55-2.73
Ga (0.5000, 0.1142, 0.8363)  5 Pd 2.55-2.73
Ga (0.5000, 0.1142, 0.1637)  5 Pd 2.55-2.73
Pd (0.0000, 0.9746, 0.8608)  4 Ga 2.55-2.73
Pd (0.5000, 0.0254, 0.6392)  4 Ga 2.55-2.73
Pd (0.5000, 0.3980, 0.8168)  4 Ga 2.58-2.66, 1 Pd 2.88
Pd (0.5000, 0.5693, 0.0000)  6 Ga 2.75-2.86, 2 Pd 2.88
Pd (0.0000, 0.4307, 0.5000)  6 Ga 2.75-2.86, 2 Pd 2.88
Pd (0.0000, 0.6020, 0.6832)  4 Ga 2.58-2.66, 1 Pd 2.88
Pd (0.0000, 0.6020, 0.3168)  4 Ga 2.58-2.66, 1 Pd 2.88
Pd (0.5000, 0.9532, 0.0000)  4 Ga 2.61-2.74, 4 Pd 2.87
Pd (0.0000, 0.9746, 0.1393)  4 Ga 2.55-2.73
Pd (0.5000, 0.3980, 0.1832)  4 Ga 2.58-2.66, 1 Pd 2.88
Pd (0.0000, 0.0468, 0.5000)  4 Ga 2.61-2.74, 4 Pd 2.87
Pd (0.5000, 0.0254, 0.3608)  4 Ga 2.55-2.73

## Properties
Final energy in eV/atom: -5.127
Calculated formation energy in eV/atom: -0.809
Symmetry: Pmmn, No. 59
Spin magnetization in μB/f.u.: 0.0

=====

Here is BaNiI2N after structural relaxation from Alexandria via LeMat-Bulk. Energies are from GGA-PBE.

Lattice parameters (Å, degrees): 6.0159 3.6655 6.0159 90.00 90.00 90.00
With the nearest neighbours (Å) after each atom.
Fractional positions:
I (0.0000, 0.0000, 0.5000)  2 Ni 3.01
I (0.5000, 0.0000, 0.0000)  2 Ni 3.01
Ni (0.0000, 0.0000, 0.0000)  2 N 1.83
Ba (0.5000, 0.5000, 0.5000)  8 I 3.52, 2 Ba 3.67
N (0.0000, 0.5000, 0.0000)  2 Ni 1.83

## Properties
Relative energy among the computed polymorphs in kJ/mol of atoms: 0.0
Formation energy from raw total energies in eV/f.u.: -1.12
Final energy in eV/atom: -4.050
Symmetry: P4/mmm, No. 123
Spin magnetization in μB/f.u.: 0.0

=====

Here is V12Tc3Os5 after structural relaxation from Alexandria via LeMat-Bulk. Energies are from GGA-PBE.

Lattice parameters (Å, degrees): 12.2701 12.2701 12.2701 109.47 109.47 109.47
With the nearest neighbours (Å) after each atom.
Fractional positions:
Tc (0.7500, 0.3750, 0.1250)  8 V 2.46-2.69
Tc (0.8750, 0.7500, 0.1250)  8 V 2.46-2.69
Tc (0.3750, 0.7500, 0.6250)  8 V 2.46-2.69
Tc (0.2500, 0.1250, 0.3750)  8 V 2.46-2.69
Tc (0.8750, 0.1250, 0.2500)  8 V 2.46-2.69
Tc (0.3750, 0.6250, 0.2500)  8 V 2.46-2.69
Tc (0.6250, 0.3750, 0.7500)  8 V 2.46-2.69
Tc (0.1250, 0.8750, 0.7500)  8 V 2.46-2.69
Tc (0.7500, 0.8750, 0.6250)  8 V 2.46-2.69
Tc (0.6250, 0.2500, 0.3750)  8 V 2.46-2.69
Tc (0.1250, 0.2500, 0.8750)  8 V 2.46-2.69
Tc (0.2500, 0.6250, 0.8750)  8 V 2.46-2.69
Os (0.1250, 0.3750, 0.2500)  4 V 2.37
Os (0.0000, 0.5000, 0.0000)  6 V 2.42
Os (0.0000, 0.0000, 0.0000)  6 V 2.42
Os (0.3750, 0.2500, 0.1250)  4 V 2.37
Os (0.5000, 0.0000, 0.5000)  6 V 2.42
Os (0.5000, 0.5000, 0.0000)  6 V 2.42
Os (0.1250, 0.7500, 0.3750)  4 V 2.37
Os (0.7500, 0.1250, 0.8750)  4 V 2.37
Os (0.7500, 0.6250, 0.3750)  4 V 2.37
Os (0.3750, 0.1250, 0.7500)  4 V 2.37
Os (0.6250, 0.8750, 0.2500)  4 V 2.37
Os (0.5000, 0.5000, 0.5000)  6 V 2.42
Os (0.5000, 0.0000, 0.0000)  6 V 2.42
Os (0.0000, 0.0000, 0.5000)  6 V 2.42
Os (0.2500, 0.3750, 0.6250)  4 V 2.37
Os (0.2500, 0.8750, 0.1250)  4 V 2.37
Os (0.0000, 0.5000, 0.5000)  6 V 2.42
Os (0.8750, 0.2500, 0.6250)  4 V 2.37
Os (0.6250, 0.7500, 0.8750)  4 V 2.37
Os (0.8750, 0.6250, 0.7500)  4 V 2.37
V (0.7298, 0.1342, 0.0627)  2 Os 2.37-2.42, 1 Tc 2.46
V (0.3329, 0.5627, 0.4285)  2 Os 2.37-2.42, 1 Tc 2.46
V (0.9373, 0.3658, 0.2702)  2 Os 2.37-2.42, 1 Tc 2.46
V (0.5627, 0.2298, 0.1342)  2 Os 2.37-2.42, 1 Tc 2.46
V (0.5956, 0.7298, 0.6671)  2 Os 2.37-2.42, 1 Tc 2.46
V (0.9373, 0.5715, 0.1671)  2 Os 2.37-2.42, 1 Tc 2.46
V (0.3329, 0.7702, 0.4044)  2 Os 2.37-2.42, 1 Tc 2.46
V (0.0715, 0.9044, 0.1342)  2 Os 2.37-2.42, 1 Tc 2.46
V (0.5715, 0.9373, 0.6671)  2 Os 2.37-2.42, 1 Tc 2.46
V (0.7298, 0.5956, 0.1671)  2 Os 2.37-2.42, 1 Tc 2.46
V (0.7702, 0.4373, 0.3658)  2 Os 2.37-2.42, 1 Tc 2.46
V (0.8329, 0.9285, 0.0627)  2 Os 2.37-2.42, 1 Tc 2.46
V (0.1342, 0.7298, 0.5627)  2 Os 2.37-2.42, 1 Tc 2.46
V (0.3658, 0.4285, 0.0956)  2 Os 2.37-2.42, 1 Tc 2.46
V (0.0956, 0.9285, 0.3658)  2 Os 2.37-2.42, 1 Tc 2.46
V (0.4044, 0.1342, 0.5715)  2 Os 2.37-2.42, 1 Tc 2.46
V (0.0956, 0.1671, 0.2298)  2 Os 2.37-2.42, 1 Tc 2.46
V (0.4373, 0.6671, 0.0715)  2 Os 2.37-2.42, 1 Tc 2.46
V (0.8329, 0.9044, 0.2702)  2 Os 2.37-2.42, 1 Tc 2.46
V (0.1342, 0.4044, 0.0715)  2 Os 2.37-2.42, 1 Tc 2.46
V (0.3658, 0.9373, 0.7702)  2 Os 2.37-2.42, 1 Tc 2.46
V (0.5715, 0.6342, 0.4044)  2 Os 2.37-2.42, 1 Tc 2.46
V (0.9285, 0.8329, 0.5627)  2 Os 2.37-2.42, 1 Tc 2.46
V (0.7702, 0.3329, 0.9044)  2 Os 2.37-2.42, 1 Tc 2.46
V (0.4285, 0.3658, 0.5956)  2 Os 2.37-2.42, 1 Tc 2.46
V (0.0715, 0.1671, 0.4373)  2 Os 2.37-2.42, 1 Tc 2.46
V (0.2298, 0.6671, 0.0956)  2 Os 2.37-2.42, 1 Tc 2.46
V (0.1671, 0.0956, 0.7298)  2 Os 2.37-2.42, 1 Tc 2.46
V (0.6342, 0.0627, 0.2298)  2 Os 2.37-2.42, 1 Tc 2.46
V (0.8658, 0.5956, 0.9285)  2 Os 2.37-2.42, 1 Tc 2.46
V (0.5627, 0.3329, 0.9285)  2 Os 2.37-2.42, 1 Tc 2.46
V (0.5956, 0.8658, 0.4285)  2 Os 2.37-2.42, 1 Tc 2.46
V (0.9044, 0.8329, 0.7702)  2 Os 2.37-2.42, 1 Tc 2.46
V (0.9044, 0.0715, 0.6342)  2 Os 2.37-2.42, 1 Tc 2.46
V (0.8658, 0.2702, 0.4373)  2 Os 2.37-2.42, 1 Tc 2.46
V (0.1671, 0.0715, 0.9373)  2 Os 2.37-2.42, 1 Tc 2.46
V (0.6342, 0.5715, 0.9044)  2 Os 2.37-2.42, 1 Tc 2.46
V (0.4285, 0.0627, 0.3329)  2 Os 2.37-2.42, 1 Tc 2.46
V (0.2702, 0.4044, 0.8329)  2 Os 2.37-2.42, 1 Tc 2.46
V (0.2298, 0.5627, 0.6342)  2 Os 2.37-2.42, 1 Tc 2.46
V (0.9285, 0.0956, 0.8658)  2 Os 2.37-2.42, 1 Tc 2.46
V (0.6671, 0.2298, 0.5956)  2 Os 2.37-2.42, 1 Tc 2.46
V (0.4373, 0.7702, 0.8658)  2 Os 2.37-2.42, 1 Tc 2.46
V (0.0627, 0.4285, 0.8329)  2 Os 2.37-2.42, 1 Tc 2.46
V (0.4044, 0.2702, 0.3329)  2 Os 2.37-2.42, 1 Tc 2.46
V (0.0627, 0.6342, 0.7298)  2 Os 2.37-2.42, 1 Tc 2.46
V (0.6671, 0.4373, 0.5715)  2 Os 2.37-2.42, 1 Tc 2.46
V (0.2702, 0.8658, 0.9373)  2 Os 2.37-2.42, 1 Tc 2.46

## Properties
Final energy in eV/atom: -8.958
Calculated formation energy in eV/atom: 0.875
Symmetry: Ia-3d, No. 230
Spin magnetization in μB/f.u.: 0.0

=====

Here is Na2CdH4 after structural relaxation from Alexandria via LeMat-Bulk. Energies are from GGA-PBE.

Lattice parameters (Å, degrees): 5.6361 5.8256 6.6203 90.00 107.86 90.00
With the nearest neighbours (Å) after each atom.
Fractional positions:
Na (0.6835, 0.7500, 0.0269)  4 H 2.33-2.50
Na (0.3165, 0.2500, 0.9731)  4 H 2.33-2.50
Na (0.2192, 0.2500, 0.4326)  4 H 2.27-2.54
Na (0.7808, 0.7500, 0.5674)  4 H 2.27-2.54
Cd (0.2429, 0.7500, 0.1969)  4 H 1.82-1.85
Cd (0.7571, 0.2500, 0.8031)  4 H 1.82-1.85
H (0.4617, 0.5050, 0.2557)  1 Cd 1.85
H (0.0681, 0.7500, 0.9138)  1 Cd 1.83
H (0.9319, 0.2500, 0.0862)  1 Cd 1.83
H (0.4617, 0.9950, 0.2557)  1 Cd 1.85
H (0.9754, 0.2500, 0.6495)  1 Cd 1.82
H (0.5383, 0.0050, 0.7443)  1 Cd 1.85
H (0.5383, 0.4950, 0.7443)  1 Cd 1.85
H (0.0246, 0.7500, 0.3505)  1 Cd 1.82

## Properties
Relative energy among the computed polymorphs in kJ/mol of atoms: 2.5
Final energy in eV/atom: -2.486
Symmetry: P2_1/m, No. 11
Spin magnetization in μB/f.u.: 0.0

=====

Here is Co2SiAu after structural relaxation from Alexandria via LeMat-Bulk. Energies are from GGA-PBE.

Lattice parameters (Å, degrees): 3.5577 2.7488 5.5888 71.71 90.00 90.00
With the nearest neighbours (Å) after each atom.
Fractional positions:
Au (0.5000, 0.7500, 0.7500)  2 Si 2.70, 8 Co 2.71-2.76, 2 Au 2.75
Co (0.0000, 0.0785, 0.0435)  2 Si 2.25, 1 Co 2.44
Co (0.0000, 0.4215, 0.4565)  2 Si 2.25, 1 Co 2.44
Si (0.5000, 0.2500, 0.2500)  4 Co 2.25

## Properties
Formation energy from raw total energies in eV/f.u.: -0.21
Final energy in eV/atom: -5.782
Symmetry: P2/m, No. 10
Spin magnetization in μB/f.u.: 1.3

=====

What did the second record say?
Here is TaTlPb2 after structural relaxation from Alexandria via LeMat-Bulk. Energies are from GGA-PBE.

Lattice parameters (Å, degrees): 4.3924 4.3924 11.4695 78.96 78.96 90.00
With the nearest neighbours (Å) after each atom.
Fractional positions:
Pb (0.6142, 0.1250, 0.2500)  4 Pb 3.04-3.17, 2 Ta 3.15, 2 Tl 3.18
Pb (0.1358, 0.6250, 0.2500)  4 Pb 3.04-3.17, 2 Ta 3.15, 2 Tl 3.18
Pb (0.3750, 0.3858, 0.7500)  4 Pb 3.04-3.17, 2 Ta 3.15, 2 Tl 3.18
Pb (0.8750, 0.8642, 0.7500)  4 Pb 3.04-3.17, 2 Ta 3.15, 2 Tl 3.18
Tl (0.0000, 0.0000, 0.0000)  4 Ta 3.11, 4 Pb 3.18
Tl (0.7500, 0.2500, 0.5000)  4 Ta 3.11, 4 Pb 3.18
Ta (0.5000, 0.5000, 0.0000)  4 Tl 3.11, 4 Pb 3.15
Ta (0.2500, 0.7500, 0.5000)  4 Tl 3.11, 4 Pb 3.15

## Properties
Relative energy among the computed polymorphs in kJ/mol of atoms: 48.2
Final energy in eV/atom: -4.584
Calculated formation energy in eV/atom: 0.825
Symmetry: I-42d, No. 122
Spin magnetization in μB/f.u.: 0.0